1.
Density functional theory data (GGA-PBE) for a geometry-optimized Al2Si3Ni3 structure.

CIF file:
```
data_Al2Si3Ni3
_cell_length_a 6.897
_cell_length_b 6.897
_cell_length_c 5.238
_cell_angle_alpha 90.00
_cell_angle_beta 90.00
_cell_angle_gamma 120.00
_symmetry_space_group_name_H-M 'P 1'
_symmetry_Int_Tables_number 1
_symmetry_space_group_name_Hall 'P 1'
loop_
_atom_site_label
_atom_site_fract_x
_atom_site_fract_y
_atom_site_fract_z
Al1 0.333 0.667 0.500
Al2 0.667 0.333 0.000
Si1 0.000 0.709 0.250
Ni1 0.363 0.363 0.750
Si2 0.000 0.291 0.750
Si3 0.709 0.709 0.750
Ni2 0.363 0.000 0.250
Ni3 0.637 0.000 0.750
Si4 0.291 0.291 0.250
Si5 0.291 0.000 0.750
Si6 0.709 0.000 0.250
Ni4 0.000 0.363 0.250
Ni5 0.000 0.637 0.750
Ni6 0.637 0.637 0.250
Al3 0.333 0.667 0.000
Al4 0.667 0.333 0.500
```

Summary:
raw total energy = -5.35 eV per atom
crystal system = hexagonal

***

2.
Density functional theory data (GGA-PBE) for a geometry-optimized AlSi2Ni9 structure.

CIF file:
```
data_AlSi2Ni9
_cell_length_a 3.525
_cell_length_b 3.525
_cell_length_c 10.574
_cell_angle_alpha 90.00
_cell_angle_beta 90.00
_cell_angle_gamma 90.00
_symmetry_space_group_name_H-M 'P 1'
_symmetry_Int_Tables_number 1
_symmetry_space_group_name_Hall 'P 1'
loop_
_atom_site_label
_atom_site_fract_x
_atom_site_fract_y
_atom_site_fract_z
Si1 0.000 0.000 0.333
Ni1 0.500 0.000 0.827
Ni2 0.500 0.000 0.173
Si2 0.000 0.000 0.667
Ni3 0.500 0.500 0.000
Al1 0.000 0.000 0.000
Ni4 0.000 0.500 0.173
Ni5 0.500 0.000 0.500
Ni6 0.000 0.500 0.827
Ni7 0.500 0.500 0.663
Ni8 0.000 0.500 0.500
Ni9 0.500 0.500 0.337
```

Summary:
raw total energy = -6.00 eV per atom
crystal system = tetragonal

***

3.
Density functional theory data (GGA-PBE) for a geometry-optimized Al3Si3Ni2 structure.

CIF file:
```
data_Al3Si3Ni2
_cell_length_a 7.286
_cell_length_b 7.286
_cell_length_c 4.781
_cell_angle_alpha 90.00
_cell_angle_beta 90.00
_cell_angle_gamma 120.00
_symmetry_space_group_name_H-M 'P 1'
_symmetry_Int_Tables_number 1
_symmetry_space_group_name_Hall 'P 1'
loop_
_atom_site_label
_atom_site_fract_x
_atom_site_fract_y
_atom_site_fract_z
Si1 0.000 0.419 0.750
Ni1 0.333 0.667 0.000
Si2 0.419 0.419 0.250
Ni2 0.667 0.333 0.000
Al1 0.000 0.780 0.750
Si3 0.419 0.000 0.750
Si4 0.581 0.581 0.750
Al2 0.780 0.000 0.750
Si5 0.000 0.581 0.250
Al3 0.000 0.220 0.250
Al4 0.220 0.220 0.750
Si6 0.581 0.000 0.250
Al5 0.220 0.000 0.250
Al6 0.780 0.780 0.250
Ni3 0.667 0.333 0.500
Ni4 0.333 0.667 0.500
```

Summary:
raw total energy = -4.93 eV per atom
crystal system = hexagonal

***

4.
Density functional theory data (GGA-PBE) for a geometry-optimized Al2Si3Ni structure.

CIF file:
```
data_Al2Si3Ni
_cell_length_a 7.791
_cell_length_b 7.791
_cell_length_c 3.562
_cell_angle_alpha 90.11
_cell_angle_beta 89.89
_cell_angle_gamma 120.02
_symmetry_space_group_name_H-M 'P 1'
_symmetry_Int_Tables_number 1
_symmetry_space_group_name_Hall 'P 1'
loop_
_atom_site_label
_atom_site_fract_x
_atom_site_fract_y
_atom_site_fract_z
Si1 0.341 0.170 0.499
Ni1 0.333 0.667 0.501
Al1 0.000 0.500 0.000
Si2 0.170 0.341 0.501
Si3 0.830 0.170 0.498
Al2 0.500 0.500 0.000
Al3 0.500 0.000 0.000
Si4 0.830 0.659 0.499
Ni2 0.667 0.333 0.499
Si5 0.170 0.830 0.502
Al4 0.000 0.000 0.000
Si6 0.659 0.830 0.501
```

Summary:
raw total energy = -4.85 eV per atom
crystal system = monoclinic

***

5.
Density functional theory data (GGA-PBE) for a geometry-optimized AlSiNi4 structure.

CIF file:
```
data_AlSiNi4
_cell_length_a 8.140
_cell_length_b 8.140
_cell_length_c 5.013
_cell_angle_alpha 90.00
_cell_angle_beta 90.00
_cell_angle_gamma 154.54
_symmetry_space_group_name_H-M 'P 1'
_symmetry_Int_Tables_number 1
_symmetry_space_group_name_Hall 'P 1'
loop_
_atom_site_label
_atom_site_fract_x
_atom_site_fract_y
_atom_site_fract_z
Si1 0.721 0.279 0.750
Ni1 0.840 0.160 0.004
Si2 0.279 0.721 0.250
Ni2 0.000 0.000 0.000
Ni3 0.422 0.578 0.250
Ni4 0.840 0.160 0.496
Al1 0.581 0.419 0.250
Ni5 0.160 0.840 0.996
Ni6 0.160 0.840 0.504
Ni7 0.578 0.422 0.750
Ni8 0.000 0.000 0.500
Al2 0.419 0.581 0.750
```

Summary:
raw total energy = -5.83 eV per atom
crystal system = orthorhombic

***

6.
Density functional theory data (GGA-PBE) for a geometry-optimized AlSiNi structure.

CIF file:
```
data_AlSiNi
_cell_length_a 7.547
_cell_length_b 7.547
_cell_length_c 2.640
_cell_angle_alpha 90.00
_cell_angle_beta 90.00
_cell_angle_gamma 120.00
_symmetry_space_group_name_H-M 'P 1'
_symmetry_Int_Tables_number 1
_symmetry_space_group_name_Hall 'P 1'
loop_
_atom_site_label
_atom_site_fract_x
_atom_site_fract_y
_atom_site_fract_z
Si1 0.667 0.333 0.000
Al1 0.311 0.000 0.000
Ni1 0.576 0.000 0.500
Si2 0.000 0.000 0.000
Ni2 0.000 0.576 0.500
Al2 0.000 0.311 0.000
Al3 0.689 0.689 0.000
Si3 0.333 0.667 0.000
Ni3 0.424 0.424 0.500
```

Summary:
raw total energy = -4.92 eV per atom
crystal system = hexagonal

***

- raw total energy of number 2 (AlSi2Ni9)?
  -6.00 eV per atom

***

- Look up the raw total energy of the fifth one.
  -5.83 eV per atom

***

- Which of these has the highest raw total energy?
  Al2Si3Ni

***

- The lowest raw total energy belongs to which entry?
  AlSi2Ni9